[1]
Entry from Alexandria: an optimized crystal structure of SnBrF (PBE).

## Properties
- VASP energy (eV per atom) = -4.03
- total magnetic moment (μB/f.u.) = 0.00

```
data_SnBrF
_cell_length_a 18.426
_cell_length_b 4.043
_cell_length_c 4.437
_cell_angle_alpha 90.00
_cell_angle_beta 92.41
_cell_angle_gamma 90.00
_space_group_name_H-M_alt 'C 1 2/m 1'
_space_group_IT_number 12
loop_
_space_group_symop_operation_xyz
'x,y,z'
'-x,-y,-z'
'-x,y,-z'
'x,-y,z'
'x+1/2,y+1/2,z'
'-x+1/2,-y+1/2,-z'
'-x+1/2,y+1/2,-z'
'x+1/2,-y+1/2,z'
loop_
_atom_site_label
_atom_site_type_symbol
_atom_site_fract_x
_atom_site_fract_y
_atom_site_fract_z
Sn1 Sn 0.167 0.000 0.135
Br1 Br 0.097 0.500 0.751
F1 F 0.250 0.000 0.794
```


[2]
Entry from Alexandria: an optimized crystal structure of Pr6Tl2HgO (PBE).

## Properties
- VASP energy (eV per atom) = -4.33
- total magnetic moment (μB/f.u.) = 0.00

```
data_Pr6Tl2HgO
_cell_length_a 5.538
_cell_length_b 5.538
_cell_length_c 10.746
_cell_angle_alpha 90.00
_cell_angle_beta 90.00
_cell_angle_gamma 90.00
_space_group_name_H-M_alt 'P 4/m m m'
_space_group_IT_number 123
_space_group_name_Hall '-P 4 2'
loop_
_atom_site_label
_atom_site_type_symbol
_atom_site_fract_x
_atom_site_fract_y
_atom_site_fract_z
Pr1 Pr 0.000 0.000 0.219
Pr2 Pr 0.000 0.500 0.000
Pr3 Pr 0.000 0.500 0.500
Tl1 Tl 0.500 0.500 0.230
Hg1 Hg 0.000 0.000 0.500
O1 O 0.000 0.000 0.000
```